# NdDyCo4O12

An optimized crystal structure of NdDyCo4O12 (PBE with a Hubbard U, the Alexandria database).

Cell: 5.296 5.296 7.353 Å, 90.00 90.00 90.55°
Each line ends with the local moment (μB).
Atoms (fractional coordinates):
Nd (0.987, 0.013, 0.000)  0.01
Dy (0.516, 0.484, 0.500)  0.03
Co (0.005, 0.502, 0.747)  2.20
Co (0.005, 0.502, 0.253)  2.20
Co (0.498, 0.995, 0.253)  2.20
Co (0.498, 0.995, 0.747)  2.20
O (0.758, 0.759, 0.746)  0.31
O (0.241, 0.242, 0.746)  0.31
O (0.241, 0.242, 0.254)  0.31
O (0.758, 0.759, 0.254)  0.31
O (0.270, 0.730, 0.690)  0.29
O (0.740, 0.260, 0.793)  0.18
O (0.740, 0.260, 0.207)  0.18
O (0.270, 0.730, 0.310)  0.29
O (0.042, 0.559, 0.000)  0.26
O (0.938, 0.450, 0.500)  0.17
O (0.441, 0.958, 0.000)  0.26
O (0.550, 0.062, 0.500)  0.17

Electronic total energy (eV per atom): -6.14
Symmetry: Amm2, No. 38
Total magnetic moment (μB/cell): 12.556
Fermi-level density of states (states/eV per cell): 9.07
Calculated density (g/cm3): 5.9